No. 1
{
  "formula": "RbCd2Bi",
  "functional": "PBE",
  "state": "relaxed",
  "ef_ev_per_atom": -0.173,
  "sg": "Cmcm, No. 63",
  "total_magnetization_mub_per_cell": 0.0,
  "lattice_angstrom": [[2.722, -6.156, 0.000], [2.722, 6.156, 0.000], [0.000, 0.000, 7.689]],
  "species": ["Rb", "Rb", "Cd", "Cd", "Cd", "Cd", "Bi", "Bi"],
  "fractional_positions": [[0.086, 0.914, 0.750], [0.914, 0.086, 0.250], [0.384, 0.616, 0.552], [0.384, 0.616, 0.948], [0.616, 0.384, 0.052], [0.616, 0.384, 0.448], [0.210, 0.790, 0.250], [0.790, 0.210, 0.750]]
}

=====

No. 2
{
  "formula": "PmNiP2",
  "functional": "PBE",
  "state": "relaxed",
  "ef_ev_per_atom": -0.756,
  "sg": "R-3m, No. 166",
  "total_magnetization_mub_per_cell": 0.0,
  "lattice_angstrom": [[2.003, 1.157, 4.884], [-2.003, 1.157, 4.884], [0.000, -2.313, 4.884]],
  "species": ["Pm", "Ni", "P", "P"],
  "fractional_positions": [[0.000, 0.000, 0.000], [0.500, 0.500, 0.500], [0.210, 0.210, 0.210], [0.790, 0.790, 0.790]]
}

=====

No. 3
{
  "formula": "Sc2ZnNi",
  "functional": "PBE",
  "state": "relaxed",
  "ef_ev_per_atom": -0.252,
  "sg": "P4mm, No. 99",
  "total_magnetization_mub_per_cell": 0.9,
  "lattice_angstrom": [[3.245, 0.000, 0.000], [0.000, 3.245, 0.000], [0.000, 0.000, 6.784]],
  "species": ["Sc", "Sc", "Zn", "Ni"],
  "fractional_positions": [[0.000, 0.000, 0.000], [0.500, 0.500, 0.345], [0.000, 0.000, 0.596], [0.500, 0.500, 0.781]]
}